# 1
Entry from the Alexandria database: Nd3Ho2TmSe6 after structural relaxation (PBE).

Properties
SG = C2/m (12)
formation energy from raw total energies = -1.78 eV/atom
volume = 300.5 Å³/cell

Lattice parameters (Å, degrees): 7.089 7.089 7.316 99.28 99.28 120.24
Element x y z (fractional)
Nd (0.000, 0.000, 0.000)
Nd (0.332, 0.668, 0.000)
Nd (0.668, 0.332, 0.000)
Ho (0.167, 0.833, 0.500)
Ho (0.833, 0.167, 0.500)
Tm (0.500, 0.500, 0.500)
Se (0.092, 0.423, 0.268)
Se (0.247, 0.247, 0.733)
Se (0.423, 0.092, 0.268)
Se (0.577, 0.908, 0.732)
Se (0.753, 0.753, 0.267)
Se (0.908, 0.577, 0.732)

***

# 2
Entry from the Alexandria database: KGa2PbS after structural relaxation (PBE).

Properties
SG = P4/mmm (123)
formation energy from raw total energies = 0.68 eV/atom
volume = 169.9 Å³/cell

Lattice parameters (Å, degrees): 5.596 5.596 5.424 90.00 90.00 90.00
Element x y z (fractional)
K (0.000, 0.000, 0.000)
Ga (0.000, 0.500, 0.000)
Ga (0.500, 0.000, 0.000)
Pb (0.500, 0.500, 0.500)
S (0.000, 0.000, 0.500)

***

Repeat the first record exactly.
Entry from the Alexandria database: Nd3Ho2TmSe6 after structural relaxation (PBE).

Properties
SG = C2/m (12)
formation energy from raw total energies = -1.78 eV/atom
volume = 300.5 Å³/cell

Lattice parameters (Å, degrees): 7.089 7.089 7.316 99.28 99.28 120.24
Element x y z (fractional)
Nd (0.000, 0.000, 0.000)
Nd (0.332, 0.668, 0.000)
Nd (0.668, 0.332, 0.000)
Ho (0.167, 0.833, 0.500)
Ho (0.833, 0.167, 0.500)
Tm (0.500, 0.500, 0.500)
Se (0.092, 0.423, 0.268)
Se (0.247, 0.247, 0.733)
Se (0.423, 0.092, 0.268)
Se (0.577, 0.908, 0.732)
Se (0.753, 0.753, 0.267)
Se (0.908, 0.577, 0.732)

***

Question: Which of these has the highest volume?
Answer: Nd3Ho2TmSe6

***

Please write out number 2 again, unchanged.
Entry from the Alexandria database: KGa2PbS after structural relaxation (PBE).

Properties
SG = P4/mmm (123)
formation energy from raw total energies = 0.68 eV/atom
volume = 169.9 Å³/cell

Lattice parameters (Å, degrees): 5.596 5.596 5.424 90.00 90.00 90.00
Element x y z (fractional)
K (0.000, 0.000, 0.000)
Ga (0.000, 0.500, 0.000)
Ga (0.500, 0.000, 0.000)
Pb (0.500, 0.500, 0.500)
S (0.000, 0.000, 0.500)

***

Question: Look up the volume of the second one.
Answer: 169.9 Å³/cell